Material: GaReTcPb2
Method: DFT, PBE-GGA
State: relaxed

a = 5.2593 Å, b = 4.7139 Å, c = 5.2593 Å
α = 90.00°, β = 90.00°, γ = 90.00°
Element x y z (fractional)
1 Tc 0.5000 0.5000 0.5000
2 Ga 0.0000 0.0000 0.0000
3 Pb 0.0000 0.0000 0.5000
4 Pb 0.5000 0.0000 0.0000
5 Re 0.0000 0.5000 0.0000

Summary:
E: -24.28 eV per formula unit
space group: P4/mmm, No. 123
energy of formation from the pure elements: 1795 meV/atom



Material: Ga2ReTcPb
Method: DFT, PBE-GGA
State: relaxed

a = 5.1596 Å, b = 5.2451 Å, c = 5.1596 Å
α = 90.00°, β = 90.00°, γ = 90.00°
Element x y z (fractional)
1 Re 0.0000 0.5000 0.0000
2 Tc 0.5000 0.5000 0.5000
3 Pb 0.0000 0.0000 0.0000
4 Ga 0.0000 0.0000 0.5000
5 Ga 0.5000 0.0000 0.0000

Summary:
E: -21.05 eV per formula unit
space group: P4/mmm, No. 123
energy of formation from the pure elements: 2305 meV/atom



Material: VGaRePb2
Method: DFT, PBE-GGA
State: relaxed

a = 5.3092 Å, b = 4.5128 Å, c = 5.3092 Å
α = 90.00°, β = 90.00°, γ = 90.00°
Element x y z (fractional)
1 Re 0.0000 0.5000 0.0000
2 Pb 0.5000 0.0000 0.0000
3 Pb 0.0000 0.0000 0.5000
4 Ga 0.5000 0.5000 0.5000
5 V 0.0000 0.0000 0.0000

Summary:
E: -26.85 eV per formula unit
space group: P4/mmm, No. 123
energy of formation from the pure elements: 1032 meV/atom



Material: GaRh3Pb
Method: DFT, PBE-GGA
State: relaxed

a = 4.9529 Å, b = 4.9529 Å, c = 4.9529 Å
α = 90.00°, β = 90.00°, γ = 90.00°
Element x y z (fractional)
1 Rh 0.0000 0.0000 0.5000
2 Rh 0.5000 0.0000 0.0000
3 Rh 0.0000 0.5000 0.0000
4 Ga 0.5000 0.5000 0.5000
5 Pb 0.0000 0.0000 0.0000

Summary:
E: -22.36 eV per formula unit
space group: Pm-3m, No. 221
polymorph energy (0 for the lowest one): 0.915 eV/atom
energy of formation from the pure elements: 1285 meV/atom



Material: GaRh3Pb
Method: DFT, PBE-GGA
State: relaxed

a = 4.5790 Å, b = 4.5790 Å, c = 4.5790 Å
α = 90.00°, β = 90.00°, γ = 90.00°
Element x y z (fractional)
1 Rh 0.5000 0.0000 0.0000
2 Rh 0.0000 0.5000 0.0000
3 Rh 0.0000 0.0000 0.5000
4 Pb 0.5000 0.5000 0.5000
5 Ga 0.0000 0.0000 0.0000

Summary:
E: -26.94 eV per formula unit
space group: Pm-3m, No. 221
polymorph energy (0 for the lowest one): 0.000 eV/atom
energy of formation from the pure elements: 370 meV/atom



Material: GaRhPb3
Method: DFT, PBE-GGA
State: relaxed

a = 5.3069 Å, b = 5.3069 Å, c = 5.3069 Å
α = 90.00°, β = 90.00°, γ = 90.00°
Element x y z (fractional)
1 Rh 0.0000 0.0000 0.0000
2 Ga 0.5000 0.5000 0.5000
3 Pb 0.5000 0.0000 0.0000
4 Pb 0.0000 0.0000 0.5000
5 Pb 0.0000 0.5000 0.0000

Summary:
E: -20.57 eV per formula unit
space group: Pm-3m, No. 221
polymorph energy (0 for the lowest one): 0.000 eV/atom
energy of formation from the pure elements: 187 meV/atom



Material: GaRh2Pb
Method: DFT, PBE-GGA
State: relaxed

a = 4.2497 Å, b = 4.2497 Å, c = 9.1339 Å
α = 76.55°, β = 76.55°, γ = 90.00°
Element x y z (fractional)
1 Rh 0.5740 0.1250 0.2500
2 Rh 0.3750 0.4260 0.7500
3 Rh 0.8750 0.8240 0.7500
4 Rh 0.1760 0.6250 0.2500
5 Pb 0.7500 0.2500 0.5000
6 Pb 0.0000 0.0000 0.0000
7 Ga 0.5000 0.5000 0.0000
8 Ga 0.2500 0.7500 0.5000

Summary:
E: -20.95 eV per formula unit
space group: I-42d, No. 122
energy of formation from the pure elements: 122 meV/atom



Material: GaRhPb3
Method: DFT, PBE-GGA
State: relaxed

a = 5.3241 Å, b = 5.3241 Å, c = 5.3241 Å
α = 90.00°, β = 90.00°, γ = 90.00°
Element x y z (fractional)
1 Ga 0.0000 0.0000 0.0000
2 Pb 0.0000 0.5000 0.0000
3 Pb 0.0000 0.0000 0.5000
4 Pb 0.5000 0.0000 0.0000
5 Rh 0.5000 0.5000 0.5000

Summary:
E: -17.18 eV per formula unit
space group: Pm-3m, No. 221
polymorph energy (0 for the lowest one): 0.677 eV/atom
energy of formation from the pure elements: 865 meV/atom